A relaxed structure of Ba2NiPdC. Source: Alexandria, functional PBE-GGA.

## Properties
- formation energy (eV per formula unit) = -0.145

abc: 5.843 5.843 3.642
angles: 90.00 90.00 90.00
Element x y z (fractional)
Pd1 0.500 0.500 0.500
Ba1 0.500 0.000 0.000
Ni1 0.000 0.000 0.500
C1 0.000 0.000 0.000
Ba2 0.000 0.500 0.000


A relaxed structure of Ba2NiSbC. Source: Alexandria, functional PBE-GGA.

## Properties
- formation energy without anion corrections (eV per atom) = -0.09

abc: 6.227 3.633 6.227
angles: 90.00 90.00 90.00
Element x y z (fractional)
Ba1 0.000 0.000 0.500
C1 0.000 0.500 0.000
Sb1 0.500 0.500 0.500
Ba2 0.500 0.000 0.000
Ni1 0.000 0.000 0.000


A relaxed structure of Ba2YNiC. Source: Alexandria, functional PBE-GGA.

## Properties
- formation energy (eV per formula unit) = 2.634

abc: 5.748 4.739 5.748
angles: 90.00 90.00 90.00
Element x y z (fractional)
Ni1 0.500 0.500 0.500
Ba1 0.500 0.000 0.000
C1 0.000 0.000 0.000
Y1 0.000 0.500 0.000
Ba2 0.000 0.000 0.500


A relaxed structure of Ba2ZnNiC. Source: Alexandria, functional PBE-GGA.

## Properties
- formation energy (eV per formula unit) = 0.406

abc: 5.915 5.915 3.673
angles: 90.00 90.00 90.00
Element x y z (fractional)
Zn1 0.500 0.500 0.500
C1 0.000 0.000 0.000
Ni1 0.000 0.000 0.500
Ba1 0.500 0.000 0.000
Ba2 0.000 0.500 0.000


A relaxed structure of BaCO. Source: Alexandria, functional PBE-GGA.

## Properties
- formation energy without anion corrections (eV per atom) = -0.74

abc: 4.198 3.624 6.671
angles: 90.00 108.31 90.00
Element x y z (fractional)
C1 0.474 0.250 0.449
Ba1 0.131 0.250 0.763
Ba2 0.869 0.750 0.237
O1 0.635 0.750 0.771
C2 0.526 0.750 0.551
O2 0.365 0.250 0.229


A relaxed structure of Ba2CO. Source: Alexandria, functional PBE-GGA.

## Properties
- energy relative to the lowest polymorph listed for this composition (meV/atom) = 266
- formation energy without anion corrections (eV per atom) = -0.17

abc: 4.951 4.951 4.951
angles: 60.00 60.00 60.00
Each line ends with the local moment (μB).
Element x y z (fractional)
C1 0.000 0.000 0.000  0.74
Ba1 0.250 0.250 0.250  0.05
O1 0.500 0.500 0.500  0.20
Ba2 0.750 0.750 0.750  0.05


Q: Which magnetic moment values were calculated for the entries above? A: 0.00; 0.00; 0.00; 0.00; 0.00; 2.00, in μB/f.u..